(1)
The following is a PBE calculation of a relaxed structure of SrNbV2, from Alexandria via LeMat-Bulk.

It has space group I4_1/amd (No. 141, origin choice 2), with a = 4.8626 Å, b = 4.8626 Å, c = 17.6348 Å, α = 90.00°, β = 90.00° and γ = 90.00°. Symmetry generates all atoms from Sr at (0.0000, 0.2500, 0.3750), Nb at (0.0000, 0.2500, 0.8750) and V at (0.0000, 0.0000, 0.0000).

Its crystal system is tetragonal. The formation energy is 1260.8 meV/atom. For the total magnetic moment, the calculation gives 4.31 μB per cell. As for the total energy: -6.24 eV/atom.

(2)
The following is a PBE calculation of a relaxed structure of Nb3InW, from Alexandria via LeMat-Bulk.

It has space group Pm-3m (No. 221), with a = 4.8917 Å, b = 4.8917 Å, c = 4.8917 Å, α = 90.00°, β = 90.00° and γ = 90.00°. Symmetry generates all atoms from Nb at (0.0000, 0.0000, 0.5000), In at (0.5000, 0.5000, 0.5000) and W at (0.0000, 0.0000, 0.0000).

Its crystal system is cubic. The formation energy is 1138.1 meV/atom. For the total magnetic moment, the calculation gives 0.00 μB per cell. As for the total energy: -8.04 eV/atom.

(3)
The following is a PBE calculation of a relaxed structure of LaSi3, from Alexandria via LeMat-Bulk.

It has space group I4/mmm (No. 139), with a = 4.2275 Å, b = 4.2275 Å, c = 8.9619 Å, α = 90.00°, β = 90.00° and γ = 90.00°. Symmetry generates all atoms from La at (0.0000, 0.0000, 0.0000), Si at (0.0000, 0.0000, 0.5000) and Si at (0.0000, 0.5000, 0.2500).

Its crystal system is tetragonal. For the total magnetic moment, the calculation gives 0.00 μB per cell. As for the total energy: -5.34 eV/atom. The formation energy (no corrections) is -0.0389 eV per atom.

(4)
The following is a PBE calculation of a relaxed structure of Ce2CdInIr, from Alexandria via LeMat-Bulk.

It has space group P2_1/m (No. 11), with a = 8.0717 Å, b = 4.1114 Å, c = 8.2239 Å, α = 90.00°, β = 109.24° and γ = 90.00°. Symmetry generates all atoms from Ce at (0.0113, 0.2500, 0.2131), Ce at (0.3355, 0.7500, 0.5983), Cd at (0.3511, 0.2500, 0.9437), In at (0.3233, 0.7500, 0.1912) and Ir at (0.1034, 0.2500, 0.6143).

Its crystal system is monoclinic. The formation energy is -467.5 meV/atom. For the total magnetic moment, the calculation gives 2.52 μB per cell. As for the total energy: -5.34 eV/atom.

(5)
The following is a PBE calculation of a relaxed structure of Ca2Ga2GeRh5, from Alexandria via LeMat-Bulk.

It has space group P4/mbm (No. 127), with a = 10.2384 Å, b = 10.2384 Å, c = 3.1910 Å, α = 90.00°, β = 90.00° and γ = 90.00°. Symmetry generates all atoms from Ca at (0.1716, 0.3284, 0.0000), Ga at (0.1301, 0.6301, 0.0000), Ge at (0.0000, 0.0000, 0.0000), Rh at (0.0000, 0.5000, 0.5000) and Rh at (0.0631, 0.8069, 0.5000).

Its crystal system is tetragonal. The formation energy is -615.5 meV/atom. For the total magnetic moment, the calculation gives 0.00 μB per cell. As for the total energy: -5.76 eV/atom.

(6)
The following is a PBE calculation of a relaxed structure of K2RbDyBr6, from Alexandria via LeMat-Bulk.

It has space group P2_1/c (No. 14), with a = 7.9683 Å, b = 8.5170 Å, c = 13.9555 Å, α = 90.00°, β = 124.34° and γ = 90.00°. Symmetry generates all atoms from K at (0.2106, 0.0810, 0.2442), Rb at (0.0000, 0.0000, 0.5000), Dy at (0.5000, 0.0000, 0.0000), Br at (0.1531, 0.1739, 0.9358), Br at (0.2595, 0.7248, 0.9164) and Br at (0.4218, 0.0622, 0.7796).

Its crystal system is monoclinic. For the total magnetic moment, the calculation gives 0.00 μB per cell. As for the total energy: -3.61 eV/atom. The formation energy (no corrections) is -1.8264 eV per atom.

(7)
The following is a PBE calculation of a relaxed structure of Tb6Pr12Tl, from Alexandria via LeMat-Bulk.

It has space group R-3 (No. 148, hexagonal axes), with a = 12.1568 Å, b = 12.1568 Å, c = 15.4991 Å, α = 90.00°, β = 90.00° and γ = 120.00°. Symmetry generates all atoms from Tb at (0.0243, 0.5899, 0.1900), Pr at (0.0069, 0.8298, 0.3129), Pr at (0.0472, 0.2011, 0.9155) and Tl at (0.0000, 0.0000, 0.5000).

Its crystal system is trigonal. The formation energy is 72.1 meV/atom. For the total magnetic moment, the calculation gives 0.00 μB per cell. As for the total energy: -4.53 eV/atom.

(8)
The following is a PBE calculation of a relaxed structure of SrCa2Sc2, from Alexandria via LeMat-Bulk.

It has space group P4/mbm (No. 127), with a = 9.7779 Å, b = 9.7779 Å, c = 3.7276 Å, α = 90.00°, β = 90.00° and γ = 90.00°. Symmetry generates all atoms from Sr at (0.0000, 0.0000, 0.0000), Ca at (0.1456, 0.3544, 0.0000) and Sc at (0.1455, 0.6455, 0.5000).

Its crystal system is tetragonal. The formation energy is 335.1 meV/atom. For the total magnetic moment, the calculation gives 2.70 μB per cell. As for the total energy: -3.33 eV/atom.

(9)
The following is a PBE calculation of a relaxed structure of KLi2CaAu, from Alexandria via LeMat-Bulk.

It has space group P4/mmm (No. 123), with a = 5.3662 Å, b = 5.3662 Å, c = 5.6732 Å, α = 90.00°, β = 90.00° and γ = 90.00°. Symmetry generates all atoms from K at (0.0000, 0.0000, 0.0000), Li at (0.0000, 0.5000, 0.5000), Ca at (0.5000, 0.5000, 0.0000) and Au at (0.5000, 0.5000, 0.5000).

Its crystal system is tetragonal. The formation energy is -160.3 meV/atom. For the total magnetic moment, the calculation gives 0.00 μB per cell. As for the total energy: -2.20 eV/atom.

(10)
The following is a PBE calculation of a relaxed structure of Th2MgRu, from Alexandria via LeMat-Bulk.

It has space group R-3m (No. 166, hexagonal axes), with a = 3.9985 Å, b = 3.9985 Å, c = 30.4781 Å, α = 90.00°, β = 90.00° and γ = 120.00°. Symmetry generates all atoms from Th at (0.0000, 0.0000, 0.1156), Mg at (0.0000, 0.0000, 0.0000) and Ru at (0.0000, 0.0000, 0.5000).

Its crystal system is trigonal. The formation energy is 79.5 meV/atom. For the total magnetic moment, the calculation gives 0.00 μB per cell. As for the total energy: -6.35 eV/atom.

(11)
The following is a PBE calculation of a relaxed structure of Li7Pm3Pd4, from Alexandria via LeMat-Bulk.

It has space group C2/m (No. 12), with a = 15.8465 Å, b = 4.1596 Å, c = 10.3033 Å, α = 90.00°, β = 125.91° and γ = 90.00°. Symmetry generates all atoms from Li at (0.0000, 0.0000, 0.0000), Li at (0.0191, 0.5000, 0.8051), Li at (0.1673, 0.0000, 0.9304), Li at (0.1732, 0.5000, 0.5011), Pm at (0.0000, 0.0000, 0.5000), Pm at (0.2036, 0.5000, 0.2326), Pd at (0.1065, 0.0000, 0.3181) and Pd at (0.1573, 0.5000, 0.7460).

Its crystal system is monoclinic. The formation energy is -411.3 meV/atom. For the total magnetic moment, the calculation gives 0.00 μB per cell. As for the total energy: -3.87 eV/atom.

(12)
The following is a PBE calculation of a relaxed structure of GaPRh, from Alexandria via LeMat-Bulk.

It has space group Cm (No. 8), with a = 9.6399 Å, b = 3.5484 Å, c = 5.8239 Å, α = 90.00°, β = 98.06° and γ = 90.00°. Symmetry generates all atoms from Ga at (0.0000, 0.0000, 0.0000), Ga at (0.2217, 0.5000, 0.7556), P at (0.3027, 0.5000, 0.3286), P at (0.4947, 0.5000, 0.5704), Rh at (0.0715, 0.5000, 0.3548) and Rh at (0.2875, 0.0000, 0.0755).

Its crystal system is monoclinic. The formation energy is -377.8 meV/atom. For the total magnetic moment, the calculation gives 0.00 μB per cell. As for the total energy: -5.64 eV/atom.

- Which of these has the highest total magnetic moment?
  SrNbV2

What did the fifth record say?
The following is a PBE calculation of a relaxed structure of Ca2Ga2GeRh5, from Alexandria via LeMat-Bulk.

It has space group P4/mbm (No. 127), with a = 10.2384 Å, b = 10.2384 Å, c = 3.1910 Å, α = 90.00°, β = 90.00° and γ = 90.00°. Symmetry generates all atoms from Ca at (0.1716, 0.3284, 0.0000), Ga at (0.1301, 0.6301, 0.0000), Ge at (0.0000, 0.0000, 0.0000), Rh at (0.0000, 0.5000, 0.5000) and Rh at (0.0631, 0.8069, 0.5000).

Its crystal system is tetragonal. The formation energy is -615.5 meV/atom. For the total magnetic moment, the calculation gives 0.00 μB per cell. As for the total energy: -5.76 eV/atom.

- Look up the total magnetic moment of the fourth one.
  2.52 μB per cell